1.
Compound: YSiGePt2
Source: OQMD via LeMat-Bulk
Functional: PBE
Structure: relaxed

Cell lengths 4.2456, 4.2456, 10.0502 Å; angles 90.00, 90.00, 90.00 degrees
Fractional positions:
Si  0.5000  0.5000  0.5000
Pt  0.5000  0.0000  0.6155
Ge  0.0000  0.5000  0.1398
Y  0.5000  0.0000  0.2547
Pt  0.0000  0.5000  0.3845
Ge  0.5000  0.0000  0.8602
Si  0.0000  0.0000  0.5000
Pt  0.0000  0.0000  0.0000
Y  0.0000  0.5000  0.7453
Pt  0.5000  0.5000  0.0000

Summary:
As for the space group: No. 129.

***

2.
Compound: YSiGePt2
Source: OQMD via LeMat-Bulk
Functional: PBE
Structure: relaxed

Cell lengths 4.2301, 4.2301, 10.1428 Å; angles 90.00, 90.00, 90.00 degrees
Fractional positions:
Y  0.0000  0.5000  0.2456
Si  0.0000  0.5000  0.8725
Y  0.5000  0.0000  0.7544
Pt  0.0000  0.5000  0.6407
Si  0.5000  0.0000  0.1275
Ge  0.0000  0.0000  0.5000
Pt  0.0000  0.0000  0.0000
Ge  0.5000  0.5000  0.5000
Pt  0.5000  0.5000  0.0000
Pt  0.5000  0.0000  0.3593

Summary:
As for the space group: No. 129.

***

3.
Compound: SmGePt
Source: OQMD via LeMat-Bulk
Functional: PBE
Structure: relaxed

Cell lengths 4.4547, 14.4095, 7.6539 Å; angles 90.00, 90.00, 90.00 degrees
Fractional positions:
Pt  0.7500  0.4014  0.5826
Pt  0.7500  0.0986  0.5826
Ge  0.2500  0.1009  0.4117
Ge  0.2500  0.8451  0.0894
Sm  0.7500  0.7500  0.2950
Sm  0.7500  0.2500  0.2914
Ge  0.7500  0.1549  0.9106
Ge  0.7500  0.3451  0.9106
Sm  0.7500  0.5021  0.2081
Pt  0.7500  0.8582  0.9191
Sm  0.2500  0.4979  0.7919
Ge  0.7500  0.6009  0.5883
Pt  0.2500  0.3582  0.0809
Ge  0.2500  0.6549  0.0894
Pt  0.7500  0.6418  0.9191
Sm  0.2500  0.0021  0.7919
Sm  0.7500  0.9979  0.2081
Sm  0.2500  0.7500  0.7086
Pt  0.2500  0.1418  0.0809
Sm  0.2500  0.2500  0.7050
Ge  0.7500  0.8991  0.5883
Ge  0.2500  0.3991  0.4117
Pt  0.2500  0.5986  0.4174
Pt  0.2500  0.9014  0.4174

Summary:
As for the space group: No. 59.

***

4.
Compound: Sm2Ge3Pt5
Source: OQMD via LeMat-Bulk
Functional: PBE
Structure: relaxed

Cell lengths 8.7706, 8.7706, 8.7706 Å; angles 110.13, 82.80, 141.36 degrees
Fractional positions:
Pt  0.1287  0.6130  0.7417
Pt  0.2500  0.2500  0.0000
Ge  0.7500  0.2500  0.5000
Sm  0.8662  0.7312  0.5974
Ge  0.3914  0.3516  0.7430
Ge  0.8914  0.1484  0.0398
Sm  0.6338  0.2312  0.8650
Pt  0.7500  0.7500  0.0000
Pt  0.3713  0.1130  0.4844
Ge  0.6086  0.6484  0.2570
Ge  0.2500  0.7500  0.5000
Sm  0.3662  0.7688  0.1350
Sm  0.1338  0.2688  0.4026
Pt  0.0321  0.2500  0.7821
Pt  0.8713  0.3870  0.2583
Pt  0.4679  0.2500  0.2179
Ge  0.1086  0.8516  0.9602
Pt  0.6287  0.8870  0.5156
Pt  0.5321  0.7500  0.7821
Pt  0.9679  0.7500  0.2179

Summary:
As for the space group: No. 72.

***

5.
Compound: Tb2SmGe4Pt4
Source: OQMD via LeMat-Bulk
Functional: PBE
Structure: relaxed

Cell lengths 8.1251, 8.1251, 8.1251 Å; angles 149.98, 127.74, 61.45 degrees
Fractional positions:
Ge  0.7813  0.2813  0.5000
Tb  0.6258  0.6258  0.0000
Pt  0.0284  0.8253  0.2031
Ge  0.3130  0.0000  0.3130
Tb  0.3742  0.3742  0.0000
Ge  0.2187  0.7187  0.5000
Ge  0.6870  0.0000  0.6870
Pt  0.6221  0.8253  0.7969
Pt  0.9716  0.1747  0.7969
Sm  0.0000  0.5000  0.5000
Pt  0.3779  0.1747  0.2031

Summary:
As for the space group: No. 71.

***

6.
Compound: TbSmGe2Pt
Source: OQMD via LeMat-Bulk
Functional: PBE
Structure: relaxed

Cell lengths 5.7374, 5.7374, 10.5408 Å; angles 115.33, 115.33, 45.00 degrees
Last column: magnetic moment on the atom in μB.
Fractional positions:
Sm  0.1897  0.1897  0.6133  0.05
Sm  0.8103  0.8103  0.3867  0.05
Pt  0.7290  0.7290  0.8381  0.01
Tb  0.0115  0.0115  0.8306  0.02
Ge  0.5220  0.5220  0.3851  0.00
Tb  0.9885  0.9885  0.1694  0.02
Ge  0.3556  0.3556  0.9477  0.00
Pt  0.2710  0.2710  0.1619  0.01
Ge  0.4780  0.4780  0.6149  0.00
Ge  0.6444  0.6444  0.0523  0.00

Summary:
As for the space group: No. 12.

***

7.
Compound: SmY2Ge4Pt4
Source: OQMD via LeMat-Bulk
Functional: PBE
Structure: relaxed

Cell lengths 8.1103, 8.1103, 8.1103 Å; angles 149.96, 127.59, 61.59 degrees
Fractional positions:
Y  0.6254  0.1254  0.5000
Pt  0.3775  0.6746  0.7028
Ge  0.7806  0.7806  0.0000
Sm  0.0000  0.0000  0.0000
Ge  0.2194  0.2194  0.0000
Y  0.3746  0.8746  0.5000
Ge  0.3134  0.5000  0.8134
Pt  0.9718  0.6746  0.2972
Pt  0.0282  0.3254  0.7028
Ge  0.6866  0.5000  0.1866
Pt  0.6225  0.3254  0.2972

Summary:
As for the space group: No. 71.

***

8.
Compound: SrSn2GePt
Source: OQMD via LeMat-Bulk
Functional: PBE
Structure: relaxed

Cell lengths 6.4262, 6.4262, 6.4262 Å; angles 136.46, 136.46, 63.27 degrees
Fractional positions:
Sn  0.7554  0.2554  0.5000
Pt  0.6369  0.6369  0.0000
Sr  0.9993  0.9993  0.0000
Ge  0.4131  0.4131  0.0000
Sn  0.2554  0.7554  0.5000

Summary:
As for the space group: No. 107.

***

9.
Compound: SrSnGe2Pt
Source: OQMD via LeMat-Bulk
Functional: PBE
Structure: relaxed

Cell lengths 6.2199, 6.2199, 6.2199 Å; angles 135.75, 135.75, 64.36 degrees
Fractional positions:
Sr  0.0036  0.0036  0.0000
Sn  0.4024  0.4024  0.0000
Ge  0.2494  0.7494  0.5000
Pt  0.6552  0.6552  0.0000
Ge  0.7494  0.2494  0.5000

Summary:
As for the space group: No. 107.

***

10.
Compound: Sr2Ge2Pt3
Source: OQMD via LeMat-Bulk
Functional: PBE
Structure: relaxed

Cell lengths 10.7020, 10.7020, 10.7020 Å; angles 23.43, 23.43, 23.43 degrees
Fractional positions:
Sr  0.2508  0.2508  0.2508
Ge  0.0032  0.0032  0.0032
Pt  0.8497  0.8497  0.8497
Sr  0.7540  0.7540  0.7540
Pt  0.3573  0.3573  0.3573
Pt  0.6519  0.6519  0.6519
Ge  0.5081  0.5081  0.5081

Summary:
As for the space group: No. 160.

***

11.
Compound: Ta2Ge3Pt2
Source: OQMD via LeMat-Bulk
Functional: PBE
Structure: relaxed

Cell lengths 8.3273, 8.3273, 8.3273 Å; angles 29.45, 29.45, 29.45 degrees
Fractional positions:
Ge  0.6299  0.6299  0.6299
Ta  0.2453  0.2453  0.2453
Pt  0.5026  0.5026  0.5026
Pt  0.9969  0.9969  0.9969
Ge  0.3911  0.3911  0.3911
Ta  0.7508  0.7508  0.7508
Ge  0.8585  0.8585  0.8585

Summary:
As for the space group: No. 160.

***

12.
Compound: Ta2GePt
Source: OQMD via LeMat-Bulk
Functional: PBE
Structure: relaxed

Cell lengths 4.5785, 4.5785, 4.5785 Å; angles 60.00, 60.00, 60.00 degrees
Fractional positions:
Pt  0.2500  0.2500  0.2500
Ta  0.0000  0.0000  0.0000
Ta  0.7500  0.7500  0.7500
Ge  0.5000  0.5000  0.5000

Summary:
As for the space group: No. 216.

***

13.
Compound: TbGe3Pt4
Source: OQMD via LeMat-Bulk
Functional: PBE
Structure: relaxed

Cell lengths 5.6306, 3.8901, 6.6849 Å; angles 90.00, 94.32, 90.00 degrees
Fractional positions:
Ge  0.5990  0.0000  0.1952
Ge  0.8923  0.0000  0.6633
Ge  0.3768  0.5000  0.8421
Pt  0.1743  0.0000  0.0003
Pt  0.8097  0.5000  0.9300
Pt  0.3513  0.0000  0.5953
Pt  0.6648  0.5000  0.4609
Tb  0.1317  0.5000  0.3128

Summary:
As for the space group: No. 6.

***

14.
Compound: TbTm2Ge4Pt4
Source: OQMD via LeMat-Bulk
Functional: PBE
Structure: relaxed

Cell lengths 8.0601, 8.0601, 8.0601 Å; angles 150.13, 127.60, 61.49 degrees
Fractional positions:
Pt  0.3775  0.6737  0.7038
Ge  0.3145  0.5000  0.8145
Tm  0.3746  0.8746  0.5000
Ge  0.2194  0.2194  0.0000
Tb  0.0000  0.0000  0.0000
Pt  0.6225  0.3263  0.2962
Pt  0.9699  0.6737  0.2962
Tm  0.6254  0.1254  0.5000
Ge  0.7806  0.7806  0.0000
Pt  0.0301  0.3263  0.7038
Ge  0.6855  0.5000  0.1855

Summary:
As for the space group: No. 71.

***

15.
Compound: TbTmGe2Pt
Source: OQMD via LeMat-Bulk
Functional: PBE
Structure: relaxed

Cell lengths 5.6415, 5.6415, 10.3495 Å; angles 114.92, 114.92, 45.28 degrees
Fractional positions:
Tm  0.0102  0.0102  0.8297
Tm  0.9898  0.9898  0.1703
Ge  0.3567  0.3567  0.9482
Pt  0.2714  0.2714  0.1636
Ge  0.6433  0.6433  0.0518
Tb  0.1891  0.1891  0.6139
Ge  0.4756  0.4756  0.6145
Pt  0.7286  0.7286  0.8364
Ge  0.5244  0.5244  0.3855
Tb  0.8109  0.8109  0.3861

Summary:
As for the space group: No. 12.

***

16.
Compound: TbY2Ge4Pt4
Source: OQMD via LeMat-Bulk
Functional: PBE
Structure: relaxed

Cell lengths 8.0985, 8.0985, 8.0985 Å; angles 149.94, 127.65, 61.55 degrees
Fractional positions:
Ge  0.7811  0.7811  0.0000
Ge  0.6882  0.5000  0.1882
Y  0.6253  0.1253  0.5000
Pt  0.6234  0.3259  0.2975
Ge  0.2189  0.2189  0.0000
Ge  0.3118  0.5000  0.8118
Pt  0.3766  0.6741  0.7025
Pt  0.0284  0.3259  0.7025
Pt  0.9716  0.6741  0.2975
Y  0.3747  0.8747  0.5000
Tb  0.0000  0.0000  0.0000

Summary:
As for the space group: No. 71.

***

17.
Compound: TbYGe2Pt
Source: OQMD via LeMat-Bulk
Functional: PBE
Structure: relaxed

Cell lengths 5.6915, 5.6915, 10.3853 Å; angles 115.15, 115.15, 44.97 degrees
Fractional positions:
Tb  0.0085  0.0085  0.8280
Ge  0.3565  0.3565  0.9432
Ge  0.5264  0.5264  0.3867
Ge  0.6435  0.6435  0.0568
Y  0.8134  0.8134  0.3885
Pt  0.2748  0.2748  0.1626
Pt  0.7252  0.7252  0.8374
Ge  0.4736  0.4736  0.6133
Y  0.1866  0.1866  0.6115
Tb  0.9915  0.9915  0.1720

Summary:
As for the space group: No. 12.

***

18.
Compound: TcGePt
Source: OQMD via LeMat-Bulk
Functional: PBE
Structure: relaxed

Cell lengths 4.1399, 4.1399, 4.1399 Å; angles 60.00, 60.00, 60.00 degrees
Fractional positions:
Pt  0.2500  0.2500  0.2500
Ge  0.0000  0.0000  0.0000
Tc  0.7500  0.7500  0.7500

Summary:
As for the space group: No. 216.

***

19.
Compound: Tc2GePt
Source: OQMD via LeMat-Bulk
Functional: PBE
Structure: relaxed

Cell lengths 4.4094, 4.4094, 4.4094 Å; angles 60.00, 60.00, 60.00 degrees
Last column: magnetic moment on the atom in μB.
Fractional positions:
Pt  0.2500  0.2500  0.2500  0.03
Tc  0.0000  0.0000  0.0000  0.81
Tc  0.7500  0.7500  0.7500  -0.24
Ge  0.5000  0.5000  0.5000  0.02

Summary:
As for the space group: No. 216.

***

20.
Compound: GeTe3Pt
Source: OQMD via LeMat-Bulk
Functional: PBE
Structure: relaxed

Cell lengths 8.5606, 8.5606, 10.2648 Å; angles 106.29, 106.29, 26.79 degrees
Fractional positions:
Te  0.9182  0.9182  0.2055
Te  0.6308  0.6308  0.4753
Te  0.8160  0.8160  0.8613
Pt  0.3782  0.3782  0.0301
Ge  0.0847  0.0847  0.3023
Ge  0.9153  0.9153  0.6977
Te  0.1840  0.1840  0.1387
Te  0.3692  0.3692  0.5247
Te  0.0818  0.0818  0.7945
Pt  0.6218  0.6218  0.9699

Summary:
As for the space group: No. 12.

***

21.
Compound: GeTe6Pt
Source: OQMD via LeMat-Bulk
Functional: PBE
Structure: relaxed

Cell lengths 7.5135, 7.5135, 16.7490 Å; angles 95.49, 95.49, 31.55 degrees
Fractional positions:
Te  0.0685  0.0685  0.7772
Ge  0.2521  0.2521  0.1038
Te  0.9315  0.9315  0.2228
Te  0.1708  0.1708  0.5106
Te  0.5804  0.5804  0.6045
Pt  0.3146  0.3146  0.2528
Te  0.4196  0.4196  0.3955
Te  0.8659  0.8659  0.0446
Te  0.1341  0.1341  0.9554
Pt  0.6854  0.6854  0.7472
Te  0.8292  0.8292  0.4894
Te  0.5956  0.5956  0.1353
Ge  0.7479  0.7479  0.8962
Te  0.4044  0.4044  0.8647
Te  0.3008  0.3008  0.7161
Te  0.6992  0.6992  0.2839

Summary:
As for the space group: No. 12.

***

22.
Compound: TlGe5Pt3
Source: OQMD via LeMat-Bulk
Functional: PBE
Structure: relaxed

Cell lengths 5.3938, 5.3938, 7.3857 Å; angles 90.00, 90.00, 120.00 degrees
Fractional positions:
Tl  0.0000  0.0000  0.0000
Ge  0.6667  0.3333  0.8020
Pt  0.0000  0.5000  0.5000
Ge  0.3333  0.6667  0.8020
Ge  0.6667  0.3333  0.1980
Ge  0.0000  0.0000  0.5000
Pt  0.5000  0.5000  0.5000
Ge  0.3333  0.6667  0.1980
Pt  0.5000  0.0000  0.5000

Summary:
As for the space group: No. 191.

***

23.
Compound: TlGePt
Source: OQMD via LeMat-Bulk
Functional: PBE
Structure: relaxed

Cell lengths 4.5433, 4.5433, 4.5433 Å; angles 60.00, 60.00, 60.00 degrees
Fractional positions:
Ge  0.2500  0.2500  0.2500
Pt  0.0000  0.0000  0.0000
Tl  0.7500  0.7500  0.7500

Summary:
As for the space group: No. 216.

***

Looking at uncorrected energy for the records above, in order, we have -67.049, -67.228, -149.797, -124.967, -67.612, -59.337, -71.334, -23.469, -23.958, -35.697, -49.811, -34.109, -47.422, -67.211, -58.861, -71.143, -63.024, -21.002, -30.568, -41.813, -60.480, -43.731, -13.325 eV per cell.